#P
NdBe2: optimized geometry, PBE-GGA.

- Symmetry: Fd-3m, No. 227

Lattice parameters (Å, degrees): 9.548 9.548 9.548 60.00 60.00 60.00
Element x y z (fractional)
Nd  0.125  0.125  0.125
Nd  0.875  0.875  0.875
Be  0.000  0.000  0.000
Be  0.000  0.000  0.500
Be  0.000  0.500  0.000
Be  0.500  0.000  0.000

#Q
NdBe2: optimized geometry, PBE-GGA.

- Symmetry: Fd-3m, No. 227

Lattice parameters (Å, degrees): 5.161 5.161 5.161 60.00 60.00 60.00
Element x y z (fractional)
Nd  0.125  0.125  0.125
Nd  0.875  0.875  0.875
Be  0.000  0.500  0.500
Be  0.500  0.000  0.500
Be  0.500  0.500  0.000
Be  0.500  0.500  0.500

Stability summary - winner: #Q; margin: 2306 meV per atom.

#P
Nd2Be2O5: optimized geometry, PBE-GGA.

- Symmetry: P4/mmm, No. 123

Lattice parameters (Å, degrees): 3.673 3.673 6.971 90.00 90.00 90.00
Element x y z (fractional)
Nd  0.000  0.000  0.000
Nd  0.000  0.000  0.500
Be  0.500  0.500  0.226
Be  0.500  0.500  0.774
O  0.000  0.500  0.273
O  0.000  0.500  0.727
O  0.500  0.000  0.273
O  0.500  0.000  0.727
O  0.500  0.500  0.000

#Q
Nd2Be2O5: optimized geometry, PBE-GGA.

- Symmetry: P4/mmm, No. 123

Lattice parameters (Å, degrees): 3.847 3.847 9.082 90.00 90.00 90.00
Element x y z (fractional)
Nd  0.000  0.000  0.241
Nd  0.000  0.000  0.759
Be  0.500  0.500  0.000
Be  0.500  0.500  0.500
O  0.000  0.000  0.500
O  0.000  0.500  0.120
O  0.000  0.500  0.880
O  0.500  0.000  0.120
O  0.500  0.000  0.880

Stability summary - winner: #P; margin: 1460 meV per atom.

#P
NdBeOs: optimized geometry, PBE-GGA.

- Symmetry: F-43m, No. 216

Lattice parameters (Å, degrees): 6.309 6.309 6.309 90.00 90.00 90.00
Element x y z (fractional)
Nd  0.000  0.000  0.000
Nd  0.000  0.500  0.500
Nd  0.500  0.000  0.500
Nd  0.500  0.500  0.000
Be  0.000  0.000  0.500
Be  0.000  0.500  0.000
Be  0.500  0.000  0.000
Be  0.500  0.500  0.500
Os  0.250  0.250  0.750
Os  0.250  0.750  0.250
Os  0.750  0.250  0.250
Os  0.750  0.750  0.750

#Q
NdBeOs: optimized geometry, PBE-GGA.

- Symmetry: F-43m, No. 216

Lattice parameters (Å, degrees): 6.094 6.094 6.094 90.00 90.00 90.00
Element x y z (fractional)
Nd  0.000  0.000  0.000
Nd  0.000  0.500  0.500
Nd  0.500  0.000  0.500
Nd  0.500  0.500  0.000
Be  0.250  0.250  0.250
Be  0.250  0.750  0.750
Be  0.750  0.250  0.750
Be  0.750  0.750  0.250
Os  0.000  0.000  0.500
Os  0.000  0.500  0.000
Os  0.500  0.000  0.000
Os  0.500  0.500  0.500

Stability summary - winner: #Q; margin: 252 meV per atom.

#P
NdBePd: optimized geometry, PBE-GGA.

- Symmetry: F-43m, No. 216

Lattice parameters (Å, degrees): 6.466 6.466 6.466 90.00 90.00 90.00
Element x y z (fractional)
Nd  0.000  0.000  0.000
Nd  0.000  0.500  0.500
Nd  0.500  0.000  0.500
Nd  0.500  0.500  0.000
Be  0.000  0.000  0.500
Be  0.000  0.500  0.000
Be  0.500  0.000  0.000
Be  0.500  0.500  0.500
Pd  0.250  0.250  0.750
Pd  0.250  0.750  0.250
Pd  0.750  0.250  0.250
Pd  0.750  0.750  0.750

#Q
NdBePd: optimized geometry, PBE-GGA.

- Symmetry: F-43m, No. 216

Lattice parameters (Å, degrees): 6.255 6.255 6.255 90.00 90.00 90.00
Element x y z (fractional)
Nd  0.000  0.000  0.000
Nd  0.000  0.500  0.500
Nd  0.500  0.000  0.500
Nd  0.500  0.500  0.000
Be  0.250  0.250  0.250
Be  0.250  0.750  0.750
Be  0.750  0.250  0.750
Be  0.750  0.750  0.250
Pd  0.000  0.000  0.500
Pd  0.000  0.500  0.000
Pd  0.500  0.000  0.000
Pd  0.500  0.500  0.500

Stability summary - winner: #P; margin: 19 meV per atom.

#P
Be3Ni: optimized geometry, PBE-GGA.

- Symmetry: Fm-3m, No. 225

Lattice parameters (Å, degrees): 5.135 5.135 5.135 90.00 90.00 90.00
Element x y z (fractional)
Be  0.000  0.000  0.000
Be  0.000  0.500  0.500
Be  0.250  0.250  0.250
Be  0.250  0.250  0.750
Be  0.250  0.750  0.250
Be  0.250  0.750  0.750
Be  0.500  0.000  0.500
Be  0.500  0.500  0.000
Be  0.750  0.250  0.250
Be  0.750  0.250  0.750
Be  0.750  0.750  0.250
Be  0.750  0.750  0.750
Ni  0.000  0.000  0.500
Ni  0.000  0.500  0.000
Ni  0.500  0.000  0.000
Ni  0.500  0.500  0.500

#Q
Be3Ni: optimized geometry, PBE-GGA.

- Symmetry: I4/mmm, No. 139

Lattice parameters (Å, degrees): 3.137 3.137 6.859 90.00 90.00 90.00
Element x y z (fractional)
Be  0.000  0.000  0.000
Be  0.000  0.500  0.250
Be  0.000  0.500  0.750
Be  0.500  0.000  0.250
Be  0.500  0.000  0.750
Be  0.500  0.500  0.500
Ni  0.000  0.000  0.500
Ni  0.500  0.500  0.000

Stability summary - winner: #Q; margin: 22 meV per atom.

#P
Be3Ni: optimized geometry, PBE-GGA.

- Symmetry: Pm-3m, No. 221

Lattice parameters (Å, degrees): 3.254 3.254 3.254 90.00 90.00 90.00
Element x y z (fractional)
Be  0.000  0.000  0.500
Be  0.000  0.500  0.000
Be  0.500  0.000  0.000
Ni  0.500  0.500  0.500

#Q
Be3Ni: optimized geometry, PBE-GGA.

- Symmetry: P6_3/mmc, No. 194

Lattice parameters (Å, degrees): 4.593 4.593 3.691 90.00 90.00 120.00
Element x y z (fractional)
Be  0.166  0.332  0.250
Be  0.166  0.834  0.250
Be  0.332  0.166  0.750
Be  0.668  0.834  0.250
Be  0.834  0.166  0.750
Be  0.834  0.668  0.750
Ni  0.333  0.667  0.750
Ni  0.667  0.333  0.250

Stability summary - winner: #Q; margin: 20 meV per atom.

#P
BeNiOs: optimized geometry, PBE-GGA.

- Symmetry: F-43m, No. 216

Lattice parameters (Å, degrees): 5.482 5.482 5.482 90.00 90.00 90.00
Element x y z (fractional)
Be  0.000  0.000  0.000
Be  0.000  0.500  0.500
Be  0.500  0.000  0.500
Be  0.500  0.500  0.000
Ni  0.000  0.000  0.500
Ni  0.000  0.500  0.000
Ni  0.500  0.000  0.000
Ni  0.500  0.500  0.500
Os  0.250  0.250  0.250
Os  0.250  0.750  0.750
Os  0.750  0.250  0.750
Os  0.750  0.750  0.250

#Q
BeNiOs: optimized geometry, PBE-GGA.

- Symmetry: F-43m, No. 216

Lattice parameters (Å, degrees): 5.214 5.214 5.214 90.00 90.00 90.00
Element x y z (fractional)
Be  0.000  0.000  0.000
Be  0.000  0.500  0.500
Be  0.500  0.000  0.500
Be  0.500  0.500  0.000
Ni  0.250  0.250  0.750
Ni  0.250  0.750  0.250
Ni  0.750  0.250  0.250
Ni  0.750  0.750  0.750
Os  0.250  0.250  0.250
Os  0.250  0.750  0.750
Os  0.750  0.250  0.750
Os  0.750  0.750  0.250

Stability summary - winner: #Q; margin: 322 meV per atom.

#P
TaBeNiPb: optimized geometry, PBE-GGA.

- Symmetry: F-43m, No. 216

Lattice parameters (Å, degrees): 6.365 6.365 6.365 90.00 90.00 90.00
Element x y z (fractional)
Ta  0.000  0.000  0.000
Ta  0.000  0.500  0.500
Ta  0.500  0.000  0.500
Ta  0.500  0.500  0.000
Be  0.250  0.250  0.750
Be  0.250  0.750  0.250
Be  0.750  0.250  0.250
Be  0.750  0.750  0.750
Ni  0.000  0.000  0.500
Ni  0.000  0.500  0.000
Ni  0.500  0.000  0.000
Ni  0.500  0.500  0.500
Pb  0.250  0.250  0.250
Pb  0.250  0.750  0.750
Pb  0.750  0.250  0.750
Pb  0.750  0.750  0.250

#Q
TaBeNiPb: optimized geometry, PBE-GGA.

- Symmetry: F-43m, No. 216

Lattice parameters (Å, degrees): 6.292 6.292 6.292 90.00 90.00 90.00
Element x y z (fractional)
Ta  0.000  0.000  0.000
Ta  0.000  0.500  0.500
Ta  0.500  0.000  0.500
Ta  0.500  0.500  0.000
Be  0.250  0.250  0.250
Be  0.250  0.750  0.750
Be  0.750  0.250  0.750
Be  0.750  0.750  0.250
Ni  0.250  0.250  0.750
Ni  0.250  0.750  0.250
Ni  0.750  0.250  0.250
Ni  0.750  0.750  0.750
Pb  0.000  0.000  0.500
Pb  0.000  0.500  0.000
Pb  0.500  0.000  0.000
Pb  0.500  0.500  0.500

Stability summary - winner: #Q; margin: 147 meV per atom.

#P
BeTcNiPb: optimized geometry, PBE-GGA.

- Symmetry: F-43m, No. 216

Lattice parameters (Å, degrees): 6.104 6.104 6.104 90.00 90.00 90.00
Element x y z (fractional)
Be  0.000  0.000  0.000
Be  0.000  0.500  0.500
Be  0.500  0.000  0.500
Be  0.500  0.500  0.000
Tc  0.250  0.250  0.750
Tc  0.250  0.750  0.250
Tc  0.750  0.250  0.250
Tc  0.750  0.750  0.750
Ni  0.000  0.000  0.500
Ni  0.000  0.500  0.000
Ni  0.500  0.000  0.000
Ni  0.500  0.500  0.500
Pb  0.250  0.250  0.250
Pb  0.250  0.750  0.750
Pb  0.750  0.250  0.750
Pb  0.750  0.750  0.250

#Q
BeTcNiPb: optimized geometry, PBE-GGA.

- Symmetry: F-43m, No. 216

Lattice parameters (Å, degrees): 6.157 6.157 6.157 90.00 90.00 90.00
Element x y z (fractional)
Be  0.000  0.000  0.000
Be  0.000  0.500  0.500
Be  0.500  0.000  0.500
Be  0.500  0.500  0.000
Tc  0.250  0.250  0.250
Tc  0.250  0.750  0.750
Tc  0.750  0.250  0.750
Tc  0.750  0.750  0.250
Ni  0.250  0.250  0.750
Ni  0.250  0.750  0.250
Ni  0.750  0.250  0.250
Ni  0.750  0.750  0.750
Pb  0.000  0.000  0.500
Pb  0.000  0.500  0.000
Pb  0.500  0.000  0.000
Pb  0.500  0.500  0.500

Stability summary - winner: #Q; margin: 110 meV per atom.

#P
BeZnNiPb: optimized geometry, PBE-GGA.

- Symmetry: F-43m, No. 216

Lattice parameters (Å, degrees): 6.316 6.316 6.316 90.00 90.00 90.00
Element x y z (fractional)
Be  0.000  0.000  0.000
Be  0.000  0.500  0.500
Be  0.500  0.000  0.500
Be  0.500  0.500  0.000
Zn  0.250  0.250  0.750
Zn  0.250  0.750  0.250
Zn  0.750  0.250  0.250
Zn  0.750  0.750  0.750
Ni  0.250  0.250  0.250
Ni  0.250  0.750  0.750
Ni  0.750  0.250  0.750
Ni  0.750  0.750  0.250
Pb  0.000  0.000  0.500
Pb  0.000  0.500  0.000
Pb  0.500  0.000  0.000
Pb  0.500  0.500  0.500

#Q
BeZnNiPb: optimized geometry, PBE-GGA.

- Symmetry: F-43m, No. 216

Lattice parameters (Å, degrees): 6.266 6.266 6.266 90.00 90.00 90.00
Element x y z (fractional)
Be  0.000  0.000  0.000
Be  0.000  0.500  0.500
Be  0.500  0.000  0.500
Be  0.500  0.500  0.000
Zn  0.250  0.250  0.250
Zn  0.250  0.750  0.750
Zn  0.750  0.250  0.750
Zn  0.750  0.750  0.250
Ni  0.000  0.000  0.500
Ni  0.000  0.500  0.000
Ni  0.500  0.000  0.000
Ni  0.500  0.500  0.500
Pb  0.250  0.250  0.750
Pb  0.250  0.750  0.250
Pb  0.750  0.250  0.250
Pb  0.750  0.750  0.750

Stability summary - winner: #Q; margin: 63 meV per atom.

#P
BeNiSbPd: optimized geometry, PBE-GGA.

- Symmetry: F-43m, No. 216

Lattice parameters (Å, degrees): 6.115 6.115 6.115 90.00 90.00 90.00
Element x y z (fractional)
Be  0.000  0.000  0.000
Be  0.000  0.500  0.500
Be  0.500  0.000  0.500
Be  0.500  0.500  0.000
Ni  0.250  0.250  0.750
Ni  0.250  0.750  0.250
Ni  0.750  0.250  0.250
Ni  0.750  0.750  0.750
Sb  0.000  0.000  0.500
Sb  0.000  0.500  0.000
Sb  0.500  0.000  0.000
Sb  0.500  0.500  0.500
Pd  0.250  0.250  0.250
Pd  0.250  0.750  0.750
Pd  0.750  0.250  0.750
Pd  0.750  0.750  0.250

#Q
BeNiSbPd: optimized geometry, PBE-GGA.

- Symmetry: F-43m, No. 216

Lattice parameters (Å, degrees): 6.103 6.103 6.103 90.00 90.00 90.00
Element x y z (fractional)
Be  0.000  0.000  0.000
Be  0.000  0.500  0.500
Be  0.500  0.000  0.500
Be  0.500  0.500  0.000
Ni  0.000  0.000  0.500
Ni  0.000  0.500  0.000
Ni  0.500  0.000  0.000
Ni  0.500  0.500  0.500
Sb  0.250  0.250  0.250
Sb  0.250  0.750  0.750
Sb  0.750  0.250  0.750
Sb  0.750  0.750  0.250
Pd  0.250  0.250  0.750
Pd  0.250  0.750  0.250
Pd  0.750  0.250  0.250
Pd  0.750  0.750  0.750

Stability summary - winner: #P; margin: 98 meV per atom.

#P
BeTlNiPd: optimized geometry, PBE-GGA.

- Symmetry: F-43m, No. 216

Lattice parameters (Å, degrees): 6.101 6.101 6.101 90.00 90.00 90.00
Element x y z (fractional)
Be  0.000  0.000  0.000
Be  0.000  0.500  0.500
Be  0.500  0.000  0.500
Be  0.500  0.500  0.000
Tl  0.250  0.250  0.250
Tl  0.250  0.750  0.750
Tl  0.750  0.250  0.750
Tl  0.750  0.750  0.250
Ni  0.000  0.000  0.500
Ni  0.000  0.500  0.000
Ni  0.500  0.000  0.000
Ni  0.500  0.500  0.500
Pd  0.250  0.250  0.750
Pd  0.250  0.750  0.250
Pd  0.750  0.250  0.250
Pd  0.750  0.750  0.750

#Q
BeTlNiPd: optimized geometry, PBE-GGA.

- Symmetry: F-43m, No. 216

Lattice parameters (Å, degrees): 6.159 6.159 6.159 90.00 90.00 90.00
Element x y z (fractional)
Be  0.000  0.000  0.000
Be  0.000  0.500  0.500
Be  0.500  0.000  0.500
Be  0.500  0.500  0.000
Tl  0.000  0.000  0.500
Tl  0.000  0.500  0.000
Tl  0.500  0.000  0.000
Tl  0.500  0.500  0.500
Ni  0.250  0.250  0.750
Ni  0.250  0.750  0.250
Ni  0.750  0.250  0.250
Ni  0.750  0.750  0.750
Pd  0.250  0.250  0.250
Pd  0.250  0.750  0.750
Pd  0.750  0.250  0.750
Pd  0.750  0.750  0.250

Stability summary - winner: #Q; margin: 19 meV per atom.

#P
BeZnNiPd: optimized geometry, PBE-GGA.

- Symmetry: F-43m, No. 216

Lattice parameters (Å, degrees): 5.782 5.782 5.782 90.00 90.00 90.00
Element x y z (fractional)
Be  0.000  0.000  0.000
Be  0.000  0.500  0.500
Be  0.500  0.000  0.500
Be  0.500  0.500  0.000
Zn  0.250  0.250  0.250
Zn  0.250  0.750  0.750
Zn  0.750  0.250  0.750
Zn  0.750  0.750  0.250
Ni  0.000  0.000  0.500
Ni  0.000  0.500  0.000
Ni  0.500  0.000  0.000
Ni  0.500  0.500  0.500
Pd  0.250  0.250  0.750
Pd  0.250  0.750  0.250
Pd  0.750  0.250  0.250
Pd  0.750  0.750  0.750

#Q
BeZnNiPd: optimized geometry, PBE-GGA.

- Symmetry: F-43m, No. 216

Lattice parameters (Å, degrees): 5.754 5.754 5.754 90.00 90.00 90.00
Element x y z (fractional)
Be  0.000  0.000  0.000
Be  0.000  0.500  0.500
Be  0.500  0.000  0.500
Be  0.500  0.500  0.000
Zn  0.000  0.000  0.500
Zn  0.000  0.500  0.000
Zn  0.500  0.000  0.000
Zn  0.500  0.500  0.500
Ni  0.250  0.250  0.750
Ni  0.250  0.750  0.250
Ni  0.750  0.250  0.250
Ni  0.750  0.750  0.750
Pd  0.250  0.250  0.250
Pd  0.250  0.750  0.750
Pd  0.750  0.250  0.750
Pd  0.750  0.750  0.250

Stability summary - winner: #Q; margin: 142 meV per atom.

#P
BeNiSnPt: optimized geometry, PBE-GGA.

- Symmetry: F-43m, No. 216

Lattice parameters (Å, degrees): 6.115 6.115 6.115 90.00 90.00 90.00
Element x y z (fractional)
Be  0.000  0.000  0.000
Be  0.000  0.500  0.500
Be  0.500  0.000  0.500
Be  0.500  0.500  0.000
Ni  0.250  0.250  0.750
Ni  0.250  0.750  0.250
Ni  0.750  0.250  0.250
Ni  0.750  0.750  0.750
Sn  0.000  0.000  0.500
Sn  0.000  0.500  0.000
Sn  0.500  0.000  0.000
Sn  0.500  0.500  0.500
Pt  0.250  0.250  0.250
Pt  0.250  0.750  0.750
Pt  0.750  0.250  0.750
Pt  0.750  0.750  0.250

#Q
BeNiSnPt: optimized geometry, PBE-GGA.

- Symmetry: F-43m, No. 216

Lattice parameters (Å, degrees): 6.062 6.062 6.062 90.00 90.00 90.00
Element x y z (fractional)
Be  0.000  0.000  0.000
Be  0.000  0.500  0.500
Be  0.500  0.000  0.500
Be  0.500  0.500  0.000
Ni  0.000  0.000  0.500
Ni  0.000  0.500  0.000
Ni  0.500  0.000  0.000
Ni  0.500  0.500  0.500
Sn  0.250  0.250  0.250
Sn  0.250  0.750  0.750
Sn  0.750  0.250  0.750
Sn  0.750  0.750  0.250
Pt  0.250  0.250  0.750
Pt  0.250  0.750  0.250
Pt  0.750  0.250  0.250
Pt  0.750  0.750  0.750

Stability summary - winner: #P; margin: 96 meV per atom.

#P
BeReNi: optimized geometry, PBE-GGA.

- Symmetry: F-43m, No. 216

Lattice parameters (Å, degrees): 5.479 5.479 5.479 90.00 90.00 90.00
Element x y z (fractional)
Be  0.000  0.000  0.000
Be  0.000  0.500  0.500
Be  0.500  0.000  0.500
Be  0.500  0.500  0.000
Re  0.250  0.250  0.250
Re  0.250  0.750  0.750
Re  0.750  0.250  0.750
Re  0.750  0.750  0.250
Ni  0.000  0.000  0.500
Ni  0.000  0.500  0.000
Ni  0.500  0.000  0.000
Ni  0.500  0.500  0.500

#Q
BeReNi: optimized geometry, PBE-GGA.

- Symmetry: F-43m, No. 216

Lattice parameters (Å, degrees): 5.368 5.368 5.368 90.00 90.00 90.00
Element x y z (fractional)
Be  0.000  0.000  0.000
Be  0.000  0.500  0.500
Be  0.500  0.000  0.500
Be  0.500  0.500  0.000
Re  0.000  0.000  0.500
Re  0.000  0.500  0.000
Re  0.500  0.000  0.000
Re  0.500  0.500  0.500
Ni  0.250  0.250  0.250
Ni  0.250  0.750  0.750
Ni  0.750  0.250  0.750
Ni  0.750  0.750  0.250

Stability summary - winner: #Q; margin: 400 meV per atom.